VASP calculation (GGA-PBEsol) on crystalline NaCd2In2 at its relaxed geometry.

As for the total DFT energy (no corrections): -1.981 eV/atom. Its formation energy is -0.03 eV/atom. As for the relative energy among the computed polymorphs: 0.00 eV/f.u. The calculation puts the spin magnetization at 0.00 μB/f.u.

The structure belongs to space group I4/mmm (No. 139); the cell edges are 4.379, 4.379 and 13.270 Å and the angles 90.00°, 90.00° and 90.00°. The inequivalent atoms are Na at (0.000, 0.000, 0.000), Cd at (0.000, 0.500, 0.250) and In at (0.000, 0.000, 0.395).

---

VASP calculation (GGA-PBEsol) on crystalline Li2Zr2Os at its relaxed geometry.

As for the total DFT energy (no corrections): -6.734 eV/atom. Its formation energy is 0.13 eV/atom. The calculation puts the spin magnetization at 0.00 μB/f.u.

The structure belongs to space group I4/mmm (No. 139); the cell edges are 3.163, 3.163 and 18.061 Å and the angles 90.00°, 90.00° and 90.00°. The inequivalent atoms are Li at (0.000, 0.500, 0.250), Zr at (0.000, 0.000, 0.092) and Os at (0.000, 0.000, 0.500).

---

VASP calculation (GGA-PBEsol) on crystalline MnIn at its relaxed geometry.

As for the total DFT energy (no corrections): -5.821 eV/atom. Its formation energy is 0.55 eV/atom. The calculation puts the spin magnetization at 3.03 μB/f.u.

The structure belongs to space group Fd-3m (No. 227, origin choice 2); the cell edges are 6.472, 6.472 and 6.472 Å and the angles 90.00°, 90.00° and 90.00°. The inequivalent atoms are Mn at (0.125, 0.125, 0.125) and In at (0.125, 0.125, 0.625).

---

VASP calculation (GGA-PBEsol) on crystalline MnPPb3 at its relaxed geometry.

As for the total DFT energy (no corrections): -4.899 eV/atom. Its formation energy is 0.61 eV/atom. The calculation puts the spin magnetization at 1.94 μB/f.u.

The structure belongs to space group Pm-3m (No. 221); the cell edges are 5.035, 5.035 and 5.035 Å and the angles 90.00°, 90.00° and 90.00°. The inequivalent atoms are Mn at (0.000, 0.000, 0.000), P at (0.500, 0.500, 0.500) and Pb at (0.000, 0.000, 0.500).

---

VASP calculation (GGA-PBEsol) on crystalline SrLi2Hg at its relaxed geometry.

As for the total DFT energy (no corrections): -1.804 eV/atom. Its formation energy is -0.22 eV/atom. The calculation puts the spin magnetization at 0.00 μB/f.u.

The structure belongs to space group Imm2 (No. 44); the cell edges are 4.558, 5.090 and 8.775 Å and the angles 90.00°, 90.00° and 90.00°. The inequivalent atoms are Sr at (0.000, 0.000, 0.000), Li at (0.000, 0.000, 0.479), Li at (0.000, 0.500, 0.229) and Hg at (0.000, 0.500, 0.767).

---

VASP calculation (GGA-PBEsol) on crystalline KGaHg2N at its relaxed geometry.

As for the total DFT energy (no corrections): -2.596 eV/atom. As for the uncorrected formation energy: 22.3 kJ per mole of atoms. The calculation puts the spin magnetization at 0.00 μB/f.u.

The structure belongs to space group P4/mmm (No. 123); the cell edges are 5.883, 5.883 and 3.561 Å and the angles 90.00°, 90.00° and 90.00°. The inequivalent atoms are K at (0.000, 0.000, 0.000), Ga at (0.500, 0.500, 0.500), Hg at (0.000, 0.500, 0.500) and N at (0.500, 0.500, 0.000).

---

spin magnetization of number 4 (MnPPb3)?
1.94 μB/f.u.

---

Repeat the first record exactly.
VASP calculation (GGA-PBEsol) on crystalline NaCd2In2 at its relaxed geometry.

As for the total DFT energy (no corrections): -1.981 eV/atom. Its formation energy is -0.03 eV/atom. As for the relative energy among the computed polymorphs: 0.00 eV/f.u. The calculation puts the spin magnetization at 0.00 μB/f.u.

The structure belongs to space group I4/mmm (No. 139); the cell edges are 4.379, 4.379 and 13.270 Å and the angles 90.00°, 90.00° and 90.00°. The inequivalent atoms are Na at (0.000, 0.000, 0.000), Cd at (0.000, 0.500, 0.250) and In at (0.000, 0.000, 0.395).

---

Repeat the first record exactly.
VASP calculation (GGA-PBEsol) on crystalline NaCd2In2 at its relaxed geometry.

As for the total DFT energy (no corrections): -1.981 eV/atom. Its formation energy is -0.03 eV/atom. As for the relative energy among the computed polymorphs: 0.00 eV/f.u. The calculation puts the spin magnetization at 0.00 μB/f.u.

The structure belongs to space group I4/mmm (No. 139); the cell edges are 4.379, 4.379 and 13.270 Å and the angles 90.00°, 90.00° and 90.00°. The inequivalent atoms are Na at (0.000, 0.000, 0.000), Cd at (0.000, 0.500, 0.250) and In at (0.000, 0.000, 0.395).